No. 1
First-principles (GGA-PBE) data for an optimized crystal structure of TlTc3Br, as listed in Alexandria.

a b c (Å): 5.260 5.260 5.260
angles (deg): 90.00 90.00 90.00
Fractional coordinates of all 5 atoms:
Tl (0.000, 0.000, 0.000)
Tc (0.000, 0.000, 0.500)
Tc (0.000, 0.500, 0.000)
Tc (0.500, 0.000, 0.000)
Br (0.500, 0.500, 0.500)

Computed properties:
**E above lowest polymorph**: 866 meV/atom
**Total magnetization**: 10.474 μB/f.u.
**VASP energy**: -4.621 eV/atom
**ΔE_f (raw)**: 2406.9 meV/atom
**V**: 29.109 Å³/atom


No. 2
First-principles (GGA-PBE) data for an optimized crystal structure of Tm2TcBr, as listed in Alexandria.

a b c (Å): 3.584 3.584 25.401
angles (deg): 90.00 90.00 120.00
Fractional coordinates of all 12 atoms:
Tm (0.000, 0.000, 0.241)
Tm (0.000, 0.000, 0.759)
Tm (0.333, 0.667, 0.426)
Tm (0.333, 0.667, 0.907)
Tm (0.667, 0.333, 0.093)
Tm (0.667, 0.333, 0.574)
Tc (0.000, 0.000, 0.500)
Tc (0.333, 0.667, 0.167)
Tc (0.667, 0.333, 0.833)
Br (0.000, 0.000, 0.000)
Br (0.333, 0.667, 0.667)
Br (0.667, 0.333, 0.333)

Computed properties:
**E above lowest polymorph**: 92 meV/atom
**Total magnetization**: 0.000 μB/f.u.
**VASP energy**: -5.761 eV/atom
**ΔE_f (raw)**: -515.0 meV/atom
**V**: 23.546 Å³/atom


No. 3
First-principles (GGA-PBE) data for an optimized crystal structure of Tm2TcBr, as listed in Alexandria.

a b c (Å): 3.425 3.425 7.913
angles (deg): 90.00 90.00 90.00
Fractional coordinates of all 4 atoms:
Tm (0.000, 0.000, 0.202)
Tm (0.000, 0.000, 0.798)
Tc (0.500, 0.500, 0.000)
Br (0.500, 0.500, 0.500)

Computed properties:
**E above lowest polymorph**: 0 meV/atom
**Total magnetization**: 0.000 μB/f.u.
**VASP energy**: -5.852 eV/atom
**ΔE_f (raw)**: -607.0 meV/atom
**V**: 23.208 Å³/atom


No. 4
First-principles (GGA-PBE) data for an optimized crystal structure of Tm4TcBr5, as listed in Alexandria.

a b c (Å): 9.370 9.370 9.055
angles (deg): 103.23 103.23 22.97
Fractional coordinates of all 10 atoms:
Tm (0.002, 0.002, 0.232)
Tm (0.358, 0.358, 0.928)
Tm (0.642, 0.642, 0.072)
Tm (0.998, 0.998, 0.768)
Tc (0.500, 0.500, 0.000)
Br (0.169, 0.169, 0.322)
Br (0.176, 0.176, 0.850)
Br (0.500, 0.500, 0.500)
Br (0.824, 0.824, 0.150)
Br (0.831, 0.831, 0.678)

Computed properties:
**Total magnetization**: 0.000 μB/f.u.
**VASP energy**: -4.884 eV/atom
**ΔE_f (raw)**: -1221.9 meV/atom
**V**: 30.169 Å³/atom


No. 5
First-principles (GGA-PBE) data for an optimized crystal structure of VTc2Br, as listed in Alexandria.

a b c (Å): 6.209 6.209 6.209
angles (deg): 90.00 90.00 90.00
Fractional coordinates of all 16 atoms:
V (0.000, 0.000, 0.000)
V (0.000, 0.500, 0.500)
V (0.500, 0.000, 0.500)
V (0.500, 0.500, 0.000)
Tc (0.250, 0.250, 0.250)
Tc (0.250, 0.250, 0.750)
Tc (0.250, 0.750, 0.250)
Tc (0.250, 0.750, 0.750)
Tc (0.750, 0.250, 0.250)
Tc (0.750, 0.250, 0.750)
Tc (0.750, 0.750, 0.250)
Tc (0.750, 0.750, 0.750)
Br (0.000, 0.000, 0.500)
Br (0.000, 0.500, 0.000)
Br (0.500, 0.000, 0.000)
Br (0.500, 0.500, 0.500)

Computed properties:
**E above lowest polymorph**: 0 meV/atom
**Total magnetization**: 0.632 μB/f.u.
**VASP energy**: -7.114 eV/atom
**ΔE_f (raw)**: 767.3 meV/atom
**V**: 14.964 Å³/atom


No. 6
First-principles (GGA-PBE) data for an optimized crystal structure of VTcBr2, as listed in Alexandria.

a b c (Å): 6.668 6.668 6.668
angles (deg): 90.00 90.00 90.00
Fractional coordinates of all 16 atoms:
V (0.000, 0.000, 0.000)
V (0.000, 0.500, 0.500)
V (0.500, 0.000, 0.500)
V (0.500, 0.500, 0.000)
Tc (0.000, 0.000, 0.500)
Tc (0.000, 0.500, 0.000)
Tc (0.500, 0.000, 0.000)
Tc (0.500, 0.500, 0.500)
Br (0.250, 0.250, 0.250)
Br (0.250, 0.250, 0.750)
Br (0.250, 0.750, 0.250)
Br (0.250, 0.750, 0.750)
Br (0.750, 0.250, 0.250)
Br (0.750, 0.250, 0.750)
Br (0.750, 0.750, 0.250)
Br (0.750, 0.750, 0.750)

Computed properties:
**E above lowest polymorph**: 234 meV/atom
**Total magnetization**: 0.003 μB/f.u.
**VASP energy**: -4.969 eV/atom
**ΔE_f (raw)**: 738.3 meV/atom
**V**: 18.531 Å³/atom


No. 7
First-principles (GGA-PBE) data for an optimized crystal structure of V3TcBr, as listed in Alexandria.

a b c (Å): 4.428 4.428 4.428
angles (deg): 90.00 90.00 90.00
Fractional coordinates of all 5 atoms:
V (0.000, 0.000, 0.500)
V (0.000, 0.500, 0.000)
V (0.500, 0.000, 0.000)
Tc (0.500, 0.500, 0.500)
Br (0.000, 0.000, 0.000)

Computed properties:
**E above lowest polymorph**: 96 meV/atom
**Total magnetization**: 1.634 μB/f.u.
**VASP energy**: -6.609 eV/atom
**ΔE_f (raw)**: 1270.0 meV/atom
**V**: 17.366 Å³/atom


No. 8
First-principles (GGA-PBE) data for an optimized crystal structure of VTc3Br, as listed in Alexandria.

a b c (Å): 4.515 4.515 4.515
angles (deg): 90.00 90.00 90.00
Fractional coordinates of all 5 atoms:
V (0.000, 0.000, 0.000)
Tc (0.000, 0.500, 0.500)
Tc (0.500, 0.000, 0.500)
Tc (0.500, 0.500, 0.000)
Br (0.500, 0.500, 0.500)

Computed properties:
**E above lowest polymorph**: 38 meV/atom
**Total magnetization**: 1.122 μB/f.u.
**VASP energy**: -6.740 eV/atom
**ΔE_f (raw)**: 1638.1 meV/atom
**V**: 18.412 Å³/atom


No. 9
First-principles (GGA-PBE) data for an optimized crystal structure of V2TcBr, as listed in Alexandria.

a b c (Å): 6.236 6.236 6.236
angles (deg): 90.00 90.00 90.00
Fractional coordinates of all 16 atoms:
V (0.250, 0.250, 0.250)
V (0.250, 0.250, 0.750)
V (0.250, 0.750, 0.250)
V (0.250, 0.750, 0.750)
V (0.750, 0.250, 0.250)
V (0.750, 0.250, 0.750)
V (0.750, 0.750, 0.250)
V (0.750, 0.750, 0.750)
Tc (0.000, 0.000, 0.000)
Tc (0.000, 0.500, 0.500)
Tc (0.500, 0.000, 0.500)
Tc (0.500, 0.500, 0.000)
Br (0.000, 0.000, 0.500)
Br (0.000, 0.500, 0.000)
Br (0.500, 0.000, 0.000)
Br (0.500, 0.500, 0.500)

Computed properties:
**E above lowest polymorph**: 0 meV/atom
**Total magnetization**: 1.748 μB/f.u.
**VASP energy**: -6.854 eV/atom
**ΔE_f (raw)**: 715.0 meV/atom
**V**: 15.159 Å³/atom


No. 10
First-principles (GGA-PBE) data for an optimized crystal structure of VTcBr2, as listed in Alexandria.

a b c (Å): 3.149 3.149 25.458
angles (deg): 90.00 90.00 120.00
Fractional coordinates of all 12 atoms:
V (0.000, 0.000, 0.000)
V (0.333, 0.667, 0.667)
V (0.667, 0.333, 0.333)
Tc (0.000, 0.000, 0.500)
Tc (0.333, 0.667, 0.167)
Tc (0.667, 0.333, 0.833)
Br (0.000, 0.000, 0.403)
Br (0.000, 0.000, 0.597)
Br (0.333, 0.667, 0.069)
Br (0.333, 0.667, 0.264)
Br (0.667, 0.333, 0.736)
Br (0.667, 0.333, 0.931)

Computed properties:
**E above lowest polymorph**: 0 meV/atom
**Total magnetization**: 1.875 μB/f.u.
**VASP energy**: -5.203 eV/atom
**ΔE_f (raw)**: 504.2 meV/atom
**V**: 18.219 Å³/atom


No. 11
First-principles (GGA-PBE) data for an optimized crystal structure of V2TcBr, as listed in Alexandria.

a b c (Å): 6.794 6.794 5.579
angles (deg): 90.00 90.00 90.00
Fractional coordinates of all 16 atoms:
V (0.243, 0.250, 0.125)
V (0.250, 0.743, 0.375)
V (0.250, 0.757, 0.875)
V (0.257, 0.250, 0.625)
V (0.743, 0.750, 0.625)
V (0.750, 0.243, 0.875)
V (0.750, 0.257, 0.375)
V (0.757, 0.750, 0.125)
Tc (0.000, 0.000, 0.000)
Tc (0.000, 0.500, 0.250)
Tc (0.500, 0.000, 0.750)
Tc (0.500, 0.500, 0.500)
Br (0.000, 0.000, 0.500)
Br (0.000, 0.500, 0.750)
Br (0.500, 0.000, 0.250)
Br (0.500, 0.500, 0.000)

Computed properties:
**E above lowest polymorph**: 41 meV/atom
**Total magnetization**: 0.000 μB/f.u.
**VASP energy**: -6.813 eV/atom
**ΔE_f (raw)**: 755.9 meV/atom
**V**: 16.093 Å³/atom


No. 12
First-principles (GGA-PBE) data for an optimized crystal structure of VTcBr2, as listed in Alexandria.

a b c (Å): 4.549 4.549 16.279
angles (deg): 90.00 90.00 90.00
Fractional coordinates of all 16 atoms:
V (0.000, 0.000, 0.000)
V (0.000, 0.500, 0.250)
V (0.500, 0.000, 0.750)
V (0.500, 0.500, 0.500)
Tc (0.000, 0.000, 0.500)
Tc (0.000, 0.500, 0.750)
Tc (0.500, 0.000, 0.250)
Tc (0.500, 0.500, 0.000)
Br (0.245, 0.250, 0.125)
Br (0.250, 0.745, 0.375)
Br (0.250, 0.755, 0.875)
Br (0.255, 0.250, 0.625)
Br (0.745, 0.750, 0.625)
Br (0.750, 0.245, 0.875)
Br (0.750, 0.255, 0.375)
Br (0.755, 0.750, 0.125)

Computed properties:
**E above lowest polymorph**: 69 meV/atom
**Total magnetization**: 0.016 μB/f.u.
**VASP energy**: -5.134 eV/atom
**ΔE_f (raw)**: 573.2 meV/atom
**V**: 21.056 Å³/atom


No. 13
First-principles (GGA-PBE) data for an optimized crystal structure of V3TcBr, as listed in Alexandria.

a b c (Å): 4.759 4.759 4.759
angles (deg): 90.00 90.00 90.00
Fractional coordinates of all 5 atoms:
V (0.000, 0.000, 0.500)
V (0.000, 0.500, 0.000)
V (0.500, 0.000, 0.000)
Tc (0.000, 0.000, 0.000)
Br (0.500, 0.500, 0.500)

Computed properties:
**E above lowest polymorph**: 0 meV/atom
**Total magnetization**: 6.362 μB/f.u.
**VASP energy**: -6.705 eV/atom
**ΔE_f (raw)**: 1174.3 meV/atom
**V**: 21.551 Å³/atom


No. 14
First-principles (GGA-PBE) data for an optimized crystal structure of VTc3Br, as listed in Alexandria.

a b c (Å): 4.589 4.589 4.589
angles (deg): 90.00 90.00 90.00
Fractional coordinates of all 5 atoms:
V (0.000, 0.000, 0.000)
Tc (0.000, 0.000, 0.500)
Tc (0.000, 0.500, 0.000)
Tc (0.500, 0.000, 0.000)
Br (0.500, 0.500, 0.500)

Computed properties:
**E above lowest polymorph**: 0 meV/atom
**Total magnetization**: 3.178 μB/f.u.
**VASP energy**: -6.778 eV/atom
**ΔE_f (raw)**: 1600.1 meV/atom
**V**: 19.328 Å³/atom


No. 15
First-principles (GGA-PBE) data for an optimized crystal structure of VTc2Br, as listed in Alexandria.

a b c (Å): 5.539 5.539 10.933
angles (deg): 90.00 90.00 90.00
Fractional coordinates of all 16 atoms:
V (0.000, 0.000, 0.000)
V (0.000, 0.500, 0.250)
V (0.500, 0.000, 0.750)
V (0.500, 0.500, 0.500)
Tc (0.228, 0.250, 0.125)
Tc (0.250, 0.728, 0.375)
Tc (0.250, 0.772, 0.875)
Tc (0.272, 0.250, 0.625)
Tc (0.728, 0.750, 0.625)
Tc (0.750, 0.228, 0.875)
Tc (0.750, 0.272, 0.375)
Tc (0.772, 0.750, 0.125)
Br (0.000, 0.000, 0.500)
Br (0.000, 0.500, 0.750)
Br (0.500, 0.000, 0.250)
Br (0.500, 0.500, 0.000)

Computed properties:
**E above lowest polymorph**: 382 meV/atom
**Total magnetization**: 0.000 μB/f.u.
**VASP energy**: -6.732 eV/atom
**ΔE_f (raw)**: 1148.9 meV/atom
**V**: 20.965 Å³/atom


No. 16
First-principles (GGA-PBE) data for an optimized crystal structure of TcWBr2, as listed in Alexandria.

a b c (Å): 6.414 6.414 6.414
angles (deg): 90.00 90.00 90.00
Fractional coordinates of all 16 atoms:
Tc (0.000, 0.000, 0.000)
Tc (0.000, 0.500, 0.500)
Tc (0.500, 0.000, 0.500)
Tc (0.500, 0.500, 0.000)
W (0.000, 0.000, 0.500)
W (0.000, 0.500, 0.000)
W (0.500, 0.000, 0.000)
W (0.500, 0.500, 0.500)
Br (0.250, 0.250, 0.250)
Br (0.250, 0.250, 0.750)
Br (0.250, 0.750, 0.250)
Br (0.250, 0.750, 0.750)
Br (0.750, 0.250, 0.250)
Br (0.750, 0.250, 0.750)
Br (0.750, 0.750, 0.250)
Br (0.750, 0.750, 0.750)

Computed properties:
**E above lowest polymorph**: 1353 meV/atom
**Total magnetization**: 0.000 μB/f.u.
**VASP energy**: -5.298 eV/atom
**ΔE_f (raw)**: 1368.0 meV/atom
**V**: 16.492 Å³/atom


No. 17
First-principles (GGA-PBE) data for an optimized crystal structure of Tc2WBr, as listed in Alexandria.

a b c (Å): 2.986 4.489 9.275
angles (deg): 90.00 90.00 90.00
Fractional coordinates of all 8 atoms:
Tc (0.000, 0.000, 0.000)
Tc (0.000, 0.500, 0.241)
Tc (0.500, 0.000, 0.741)
Tc (0.500, 0.500, 0.500)
W (0.000, 0.500, 0.774)
W (0.500, 0.000, 0.274)
Br (0.000, 0.000, 0.508)
Br (0.500, 0.500, 0.008)

Computed properties:
**E above lowest polymorph**: 361 meV/atom
**Total magnetization**: 0.000 μB/f.u.
**VASP energy**: -8.082 eV/atom
**ΔE_f (raw)**: 757.9 meV/atom
**V**: 15.542 Å³/atom


No. 18
First-principles (GGA-PBE) data for an optimized crystal structure of Tc2WBr, as listed in Alexandria.

a b c (Å): 2.962 4.573 9.107
angles (deg): 90.00 90.00 90.00
Fractional coordinates of all 8 atoms:
Tc (0.000, 0.000, 0.233)
Tc (0.000, 0.000, 0.767)
Tc (0.500, 0.500, 0.267)
Tc (0.500, 0.500, 0.733)
W (0.000, 0.500, 0.000)
W (0.500, 0.000, 0.500)
Br (0.000, 0.500, 0.500)
Br (0.500, 0.000, 0.000)

Computed properties:
**E above lowest polymorph**: 395 meV/atom
**Total magnetization**: 0.000 μB/f.u.
**VASP energy**: -8.047 eV/atom
**ΔE_f (raw)**: 792.0 meV/atom
**V**: 15.417 Å³/atom


No. 19
First-principles (GGA-PBE) data for an optimized crystal structure of TcWBr2, as listed in Alexandria.

a b c (Å): 2.963 5.672 9.061
angles (deg): 90.00 90.00 90.00
Fractional coordinates of all 8 atoms:
Tc (0.000, 0.000, 0.000)
Tc (0.500, 0.500, 0.000)
W (0.000, 0.000, 0.500)
W (0.500, 0.500, 0.500)
Br (0.000, 0.500, 0.256)
Br (0.000, 0.500, 0.744)
Br (0.500, 0.000, 0.256)
Br (0.500, 0.000, 0.744)

Computed properties:
**E above lowest polymorph**: 1214 meV/atom
**Total magnetization**: 2.654 μB/f.u.
**VASP energy**: -5.437 eV/atom
**ΔE_f (raw)**: 1228.8 meV/atom
**V**: 19.035 Å³/atom


No. 20
First-principles (GGA-PBE) data for an optimized crystal structure of TcWBr2, as listed in Alexandria.

a b c (Å): 3.161 3.550 9.231
angles (deg): 95.74 93.68 107.74
Fractional coordinates of all 4 atoms:
Tc (0.000, 0.000, 0.000)
W (0.760, 0.440, 0.834)
Br (0.213, 0.500, 0.613)
Br (0.540, 0.907, 0.214)

Computed properties:
**E above lowest polymorph**: 0 meV/atom
**Total magnetization**: 0.000 μB/f.u.
**VASP energy**: -6.651 eV/atom
**ΔE_f (raw)**: 15.0 meV/atom
**V**: 24.413 Å³/atom